(1)
The following is a DFT calculation (PBE-GGA) of a relaxed structure of Rb2Al2Ag.

Cell lengths 11.0557, 11.0557, 3.1529 Å; angles 90.00, 90.00, 90.00 degrees
Closest atoms and distances in Å follow each position.
Fractional positions:
Rb: 0.2926 0.7926 0.0000  2 Rb 3.15
Rb: 0.7926 0.7074 0.0000  2 Rb 3.15
Rb: 0.7074 0.2074 0.0000  2 Rb 3.15
Rb: 0.2074 0.2926 0.0000  2 Rb 3.15
Ag: 0.0000 0.0000 0.0000  2 Ag 3.15
Ag: 0.5000 0.5000 0.0000  2 Ag 3.15
Al: 0.0807 0.5807 0.5000  1 Al 2.52
Al: 0.5807 0.9193 0.5000  1 Al 2.52
Al: 0.9193 0.4193 0.5000  1 Al 2.52
Al: 0.4193 0.0807 0.5000  1 Al 2.52

Computed properties:
DOS(E_F) in states/eV per cell: 4.9
Electronic total energy in eV for the cell shown: -19.115

(2)
The following is a DFT calculation (PBE-GGA) of a relaxed structure of Rb2Al2Ag.

Cell lengths 7.0997, 7.0997, 6.2343 Å; angles 90.00, 90.00, 90.00 degrees
Closest atoms and distances in Å follow each position.
Fractional positions:
Rb: 0.1865 0.6865 0.5000  6 Al 3.62-3.87, 5 Rb 3.66-3.75
Rb: 0.6865 0.8135 0.5000  6 Al 3.62-3.87, 5 Rb 3.66-3.75
Rb: 0.8135 0.3135 0.5000  6 Al 3.62-3.87, 5 Rb 3.66-3.75
Rb: 0.3135 0.1865 0.5000  6 Al 3.62-3.87, 5 Rb 3.66-3.75
Ag: 0.0000 0.0000 0.0000  4 Al 2.78
Ag: 0.5000 0.5000 0.0000  4 Al 2.78
Al: 0.3690 0.8690 0.0000  1 Al 2.63, 2 Ag 2.78
Al: 0.8690 0.6310 0.0000  1 Al 2.63, 2 Ag 2.78
Al: 0.6310 0.1310 0.0000  1 Al 2.63, 2 Ag 2.78
Al: 0.1310 0.3690 0.0000  1 Al 2.63, 2 Ag 2.78

Computed properties:
DOS(E_F) in states/eV per cell: 7.4
Electronic total energy in eV for the cell shown: -21.795

(3)
The following is a DFT calculation (PBE-GGA) of a relaxed structure of RbAl6Ag8.

Cell lengths 6.9517, 6.9517, 6.9517 Å; angles 73.92, 73.92, 73.92 degrees
Closest atoms and distances in Å follow each position.
Fractional positions:
Rb: 0.0000 0.0000 0.0000  8 Ag 3.32-3.41, 6 Al 3.57
Al: 0.1738 0.3737 0.5631  5 Ag 2.73-2.79, 3 Al 2.77-2.82
Al: 0.4369 0.8262 0.6263  5 Ag 2.73-2.79, 3 Al 2.77-2.82
Al: 0.6263 0.4369 0.8262  5 Ag 2.73-2.79, 3 Al 2.77-2.82
Al: 0.3737 0.5631 0.1738  5 Ag 2.73-2.79, 3 Al 2.77-2.82
Al: 0.5631 0.1738 0.3737  5 Ag 2.73-2.79, 3 Al 2.77-2.82
Al: 0.8262 0.6263 0.4369  5 Ag 2.73-2.79, 3 Al 2.77-2.82
Ag: 0.2058 0.5400 0.8619  4 Al 2.73-2.79, 3 Ag 2.85-2.95
Ag: 0.1381 0.7942 0.4600  4 Al 2.73-2.79, 3 Ag 2.85-2.95
Ag: 0.4600 0.1381 0.7942  4 Al 2.73-2.79, 3 Ag 2.85-2.95
Ag: 0.7786 0.7786 0.7786  3 Al 2.76, 3 Ag 2.85
Ag: 0.2214 0.2214 0.2214  3 Al 2.76, 3 Ag 2.85
Ag: 0.5400 0.8619 0.2058  4 Al 2.73-2.79, 3 Ag 2.85-2.95
Ag: 0.8619 0.2058 0.5400  4 Al 2.73-2.79, 3 Ag 2.85-2.95
Ag: 0.7942 0.4600 0.1381  4 Al 2.73-2.79, 3 Ag 2.85-2.95

Computed properties:
DOS(E_F) in states/eV per cell: 7.4
Electronic total energy in eV for the cell shown: -44.923

(4)
The following is a DFT calculation (PBE-GGA) of a relaxed structure of RbAl2Ag3.

Cell lengths 5.5542, 7.3140, 7.3140 Å; angles 106.97, 90.00, 90.00 degrees
Closest atoms and distances in Å follow each position.
Fractional positions:
Rb: 0.2500 0.3475 0.3475  9 Ag 3.54-3.79, 2 Rb 3.84
Rb: 0.7500 0.6525 0.6525  9 Ag 3.54-3.79, 2 Rb 3.84
Al: 0.5000 0.8054 0.1946  6 Ag 2.69-2.73, 2 Al 2.78
Al: 0.0000 0.8054 0.1946  6 Ag 2.69-2.73, 2 Al 2.78
Al: 0.0000 0.1946 0.8054  6 Ag 2.69-2.73, 2 Al 2.78
Al: 0.5000 0.1946 0.8054  6 Ag 2.69-2.73, 2 Al 2.78
Ag: 0.7500 0.4797 0.0570  4 Al 2.69-2.72, 2 Ag 2.94
Ag: 0.7500 0.0570 0.4797  4 Al 2.69-2.72, 2 Ag 2.94
Ag: 0.2500 0.5203 0.9430  4 Al 2.69-2.72, 2 Ag 2.94
Ag: 0.7500 0.0617 0.0617  4 Al 2.73, 2 Ag 2.98
Ag: 0.2500 0.9383 0.9383  4 Al 2.73, 2 Ag 2.98
Ag: 0.2500 0.9430 0.5203  4 Al 2.69-2.72, 2 Ag 2.94

Computed properties:
DOS(E_F) in states/eV per cell: 5.2
Electronic total energy in eV for the cell shown: -35.027

(5)
The following is a DFT calculation (PBE-GGA) of a relaxed structure of Rb2AlAg2.

Cell lengths 4.6891, 4.6891, 11.2052 Å; angles 77.92, 77.92, 60.00 degrees
Closest atoms and distances in Å follow each position.
Fractional positions:
Rb: 0.4274 0.4274 0.7179  4 Ag 3.44-3.82
Rb: 0.5726 0.5726 0.2821  4 Ag 3.44-3.82
Al: 0.0000 0.0000 0.0000  6 Ag 2.73
Ag: 0.6780 0.6780 0.9661  3 Al 2.73, 3 Ag 2.81
Ag: 0.3220 0.3220 0.0339  3 Al 2.73, 3 Ag 2.81

Computed properties:
DOS(E_F) in states/eV per cell: 3.6
Electronic total energy in eV for the cell shown: -11.392

(6)
The following is a DFT calculation (PBE-GGA) of a relaxed structure of RbAl2Ag2.

Cell lengths 4.4712, 4.4712, 7.1922 Å; angles 71.89, 71.89, 90.00 degrees
Closest atoms and distances in Å follow each position.
Fractional positions:
Rb: 0.0000 0.0000 0.0000  8 Ag 3.64, 8 Al 3.93
Ag: 0.3609 0.3609 0.2782  4 Al 2.66
Ag: 0.6391 0.6391 0.7218  4 Al 2.66
Al: 0.7500 0.2500 0.5000  4 Ag 2.66
Al: 0.2500 0.7500 0.5000  4 Ag 2.66

Computed properties:
DOS(E_F) in states/eV per cell: 2.9
Electronic total energy in eV for the cell shown: -13.622

(7)
The following is a DFT calculation (PBE-GGA) of a relaxed structure of Rb2Al2Ag.

Cell lengths 3.9365, 3.9365, 11.6215 Å; angles 80.25, 80.25, 90.00 degrees
Closest atoms and distances in Å follow each position.
Fractional positions:
Rb: 0.3984 0.3984 0.2032  4 Ag 3.61, 4 Al 3.88, 4 Rb 3.94
Rb: 0.6016 0.6016 0.7968  4 Ag 3.61, 4 Al 3.88, 4 Rb 3.94
Ag: 0.0000 0.0000 0.0000  8 Rb 3.61, 4 Ag 3.94
Al: 0.7500 0.2500 0.5000  4 Al 2.78
Al: 0.2500 0.7500 0.5000  4 Al 2.78

Computed properties:
DOS(E_F) in states/eV per cell: 1.4
Electronic total energy in eV for the cell shown: -10.975

(8)
The following is a DFT calculation (PBE-GGA) of a relaxed structure of Rb2AlAg2.

Cell lengths 7.2681, 7.2681, 5.9408 Å; angles 90.00, 90.00, 90.00 degrees
Closest atoms and distances in Å follow each position.
Fractional positions:
Rb: 0.1762 0.6762 0.5000  6 Ag 3.49-3.79, 5 Rb 3.62-3.79
Rb: 0.6762 0.8238 0.5000  6 Ag 3.49-3.79, 5 Rb 3.62-3.79
Rb: 0.8238 0.3238 0.5000  6 Ag 3.49-3.79, 5 Rb 3.62-3.79
Rb: 0.3238 0.1762 0.5000  6 Ag 3.49-3.79, 5 Rb 3.62-3.79
Ag: 0.3539 0.8539 0.0000  2 Al 2.78, 1 Ag 3.00
Ag: 0.8539 0.6461 0.0000  2 Al 2.78, 1 Ag 3.00
Ag: 0.6461 0.1461 0.0000  2 Al 2.78, 1 Ag 3.00
Ag: 0.1461 0.3539 0.0000  2 Al 2.78, 1 Ag 3.00
Al: 0.0000 0.0000 0.0000  4 Ag 2.78
Al: 0.5000 0.5000 0.0000  4 Ag 2.78

Computed properties:
DOS(E_F) in states/eV per cell: 5.3
Electronic total energy in eV for the cell shown: -20.799

(9)
The following is a DFT calculation (PBE-GGA) of a relaxed structure of RbAl4Ag4.

Cell lengths 4.7849, 9.1840, 9.1840 Å; angles 90.00, 90.00, 90.00 degrees
Closest atoms and distances in Å follow each position.
Fractional positions:
Rb: 0.0000 0.0000 0.0000  4 Ag 3.46, 4 Al 3.78
Rb: 0.5000 0.5000 0.5000  4 Ag 3.46, 4 Al 3.78
Al: 0.5001 0.3934 0.8975  5 Ag 2.63-2.88, 1 Al 2.72
Al: 0.0001 0.6025 0.8934  5 Ag 2.63-2.88, 1 Al 2.72
Al: 0.5001 0.6066 0.1025  5 Ag 2.63-2.88, 1 Al 2.72
Al: 0.9999 0.1066 0.6025  5 Ag 2.63-2.88, 1 Al 2.72
Al: 0.4999 0.8975 0.6066  5 Ag 2.63-2.88, 1 Al 2.72
Al: 0.9999 0.8934 0.3975  5 Ag 2.63-2.88, 1 Al 2.72
Al: 0.0001 0.3975 0.1066  5 Ag 2.63-2.88, 1 Al 2.72
Al: 0.4999 0.1025 0.3934  5 Ag 2.63-2.88, 1 Al 2.72
Ag: 0.4999 0.8214 0.3027  5 Al 2.63-2.88, 2 Ag 2.89-2.90
Ag: 0.4999 0.1786 0.6973  5 Al 2.63-2.88, 2 Ag 2.89-2.90
Ag: 0.9999 0.8027 0.6786  5 Al 2.63-2.88, 2 Ag 2.89-2.90
Ag: 0.0001 0.3214 0.8027  5 Al 2.63-2.88, 2 Ag 2.89-2.90
Ag: 0.0001 0.6786 0.1973  5 Al 2.63-2.88, 2 Ag 2.89-2.90
Ag: 0.5001 0.3027 0.1786  5 Al 2.63-2.88, 2 Ag 2.89-2.90
Ag: 0.5001 0.6973 0.8214  5 Al 2.63-2.88, 2 Ag 2.89-2.90
Ag: 0.9999 0.1973 0.3214  5 Al 2.63-2.88, 2 Ag 2.89-2.90

Computed properties:
DOS(E_F) in states/eV per cell: 4.1
Electronic total energy in eV for the cell shown: -56.280

(10)
The following is a DFT calculation (PBE-GGA) of a relaxed structure of RbAlAgS3.

Cell lengths 6.5982, 6.6486, 7.4431 Å; angles 116.53, 90.00, 90.00 degrees
Closest atoms and distances in Å follow each position.
Fractional positions:
Rb: 0.7500 0.2496 0.4991  4 S 3.31-3.33
Rb: 0.2500 0.7504 0.5009  4 S 3.31-3.33
Al: 0.2500 0.0705 0.1410  5 S 2.18-2.43
Al: 0.7500 0.9295 0.8590  5 S 2.18-2.43
Ag: 0.2500 0.4330 0.8660  5 S 2.60-2.65
Ag: 0.7500 0.5670 0.1340  5 S 2.60-2.65
S: 0.2500 0.2338 0.4676  1 Al 2.18
S: 0.0000 0.2283 0.0000  2 Al 2.43, 2 Ag 2.60
S: 0.5000 0.7717 0.0000  2 Al 2.43, 2 Ag 2.60
S: 0.5000 0.2283 0.0000  2 Al 2.43, 2 Ag 2.60
S: 0.0000 0.7717 0.0000  2 Al 2.43, 2 Ag 2.60
S: 0.7500 0.7662 0.5324  1 Al 2.18

Computed properties:
DOS(E_F) in states/eV per cell: 6.3
Raw formation energy in meV/atom: -711

(11)
The following is a DFT calculation (PBE-GGA) of a relaxed structure of RbAl2AgSb.

Cell lengths 5.1106, 5.7796, 5.1106 Å; angles 90.00, 90.00, 90.00 degrees
Closest atoms and distances in Å follow each position.
Fractional positions:
Sb: 0.0000 0.5000 0.0000  2 Ag 2.89
Rb: 0.5000 0.5000 0.5000  4 Sb 3.61, 8 Al 3.86
Ag: 0.0000 0.0000 0.0000  4 Al 2.56
Al: 0.0000 0.0000 0.5000  2 Ag 2.56
Al: 0.5000 0.0000 0.0000  2 Ag 2.56

Computed properties:
DOS(E_F) in states/eV per cell: 3.4
Raw formation energy in meV/atom: 327

(12)
The following is a DFT calculation (PBE-GGA) of a relaxed structure of Rb2AlAgSb2.

Cell lengths 6.8031, 6.7808, 9.8122 Å; angles 110.21, 110.28, 90.00 degrees
Closest atoms and distances in Å follow each position.
Fractional positions:
Rb: 0.3961 0.1700 0.3400  5 Sb 3.62-4.06, 2 Ag 3.70, 2 Al 3.85
Rb: 0.6039 0.8300 0.6600  5 Sb 3.62-4.06, 2 Ag 3.70, 2 Al 3.85
Rb: 0.0561 0.3300 0.6600  5 Sb 3.62-4.06, 2 Ag 3.70, 2 Al 3.85
Rb: 0.9439 0.6700 0.3400  5 Sb 3.62-4.06, 2 Ag 3.70, 2 Al 3.85
Al: 0.5000 0.7500 0.0000  4 Sb 2.77
Al: 0.5000 0.2500 0.0000  4 Sb 2.77
Ag: 0.0000 0.7500 0.0000  4 Sb 3.00
Ag: 0.0000 0.2500 0.0000  4 Sb 3.00
Sb: 0.8152 0.0930 0.1859  2 Al 2.77, 2 Ag 3.00
Sb: 0.3707 0.5930 0.1859  2 Al 2.77, 2 Ag 3.00
Sb: 0.6293 0.4070 0.8141  2 Al 2.77, 2 Ag 3.00
Sb: 0.1848 0.9070 0.8141  2 Al 2.77, 2 Ag 3.00

Computed properties:
DOS(E_F) in states/eV per cell: 0.0
Raw formation energy in meV/atom: -340